# 1
DFT (GGA-PBE) results for a geometry-optimized TmZnC structure.

## Properties
Its space group is I4/mmm (139). The crystal system is tetragonal. As for the formation energy: -0.200 eV/f.u. As for the calculated total energy: -5.057 eV/atom.

abc: 9.115 9.115 9.115
angles: 157.64 157.64 31.84
Sites, in units of the cell vectors:
Tm 0.184 0.184 0.000
Tm 0.816 0.816 0.000
Zn 0.433 0.433 0.000
Zn 0.567 0.567 0.000
C 0.320 0.320 0.000
C 0.680 0.680 0.000

=====

# 2
DFT (GGA-PBE) results for a geometry-optimized TmZr5C6 structure.

## Properties
Its space group is C2/m (12). The crystal system is monoclinic. As for the formation energy: -8.323 eV/f.u. As for the calculated total energy: -9.240 eV/atom.

abc: 5.830 5.830 5.828
angles: 99.58 99.58 120.04
Sites, in units of the cell vectors:
Tm 0.000 0.000 0.000
Zr 0.166 0.834 0.500
Zr 0.333 0.667 0.000
Zr 0.500 0.500 0.500
Zr 0.667 0.333 0.000
Zr 0.834 0.166 0.500
C 0.085 0.425 0.254
C 0.255 0.255 0.746
C 0.425 0.085 0.254
C 0.575 0.915 0.746
C 0.745 0.745 0.254
C 0.915 0.575 0.746

=====

# 3
DFT (GGA-PBE) results for a geometry-optimized Tm2ZrC structure.

## Properties
Its space group is R-3m (166). The crystal system is trigonal. As for the formation energy: 0.117 eV/f.u. As for the calculated total energy: -6.650 eV/atom.

abc: 9.414 9.414 9.414
angles: 20.70 20.70 20.70
Sites, in units of the cell vectors:
Tm 0.118 0.118 0.118
Tm 0.882 0.882 0.882
Zr 0.000 0.000 0.000
C 0.500 0.500 0.500